Record 1
PrY3Cd after structural relaxation, computed with GGA-PBE.

a = 5.260 Å, b = 16.648 Å, c = 7.065 Å
α = 90.00°, β = 90.00°, γ = 90.00°
Space group Cmc2_1 (No. 36)
Inequivalent atoms, fractional coordinates:
Pr: 0.000 0.109 0.000
Y: 0.000 0.109 0.513
Y: 0.000 0.292 0.253
Y: 0.000 0.495 0.765
Cd: 0.000 0.303 0.753

Spin magnetization in μB per cell: 0.00
Total energy in Ry per atom: -0.37552
Formation energy from the elements in eV/atom: -0.092

Record 2
PrYCd3 after structural relaxation, computed with GGA-PBE.

a = 3.541 Å, b = 29.791 Å, c = 5.043 Å
α = 90.00°, β = 90.00°, γ = 90.00°
Space group Cmcm (No. 63)
Inequivalent atoms, fractional coordinates:
Pr: 0.000 0.075 0.250
Y: 0.000 0.214 0.750
Cd: 0.000 0.322 0.750
Cd: 0.000 0.377 0.250
Cd: 0.000 0.476 0.250

Spin magnetization in μB per cell: 0.26
Total energy in Ry per atom: -0.22922
Formation energy from the elements in eV/atom: -0.321

Record 3
Pr2Y2Cd after structural relaxation, computed with GGA-PBE.

a = 8.574 Å, b = 9.539 Å, c = 8.639 Å
α = 90.00°, β = 116.13°, γ = 90.00°
Space group C2/m (No. 12)
Inequivalent atoms, fractional coordinates:
Pr: 0.164 0.000 0.431
Pr: 0.218 0.500 0.119
Y: 0.075 0.316 0.723
Cd: 0.000 0.158 0.000

Spin magnetization in μB per cell: 0.00
Total energy in Ry per atom: -0.34783
Formation energy from the elements in eV/atom: -0.052